[1]
CaSmAlCu, optimized geometry, DFT GGA-PBE; crystal system = cubic; total moment = 0.000 μB per atom; energy of formation = -0.1866 eV per atom; E_tot = -15.31 eV/f.u.
1.0
0.000 3.636 3.636
3.636 0.000 3.636
3.636 3.636 0.000
Ca Sm Al Cu
1 1 1 1
Direct
0.000 0.000 0.000 Ca
0.500 0.500 0.500 Sm
0.750 0.750 0.750 Al
0.250 0.250 0.250 Cu

=====

[2]
Y2BiPt, optimized geometry, DFT GGA-PBE; crystal system = tetragonal; total moment = 0.000 μB per atom; energy of formation = -0.3750 eV per atom; E_tot = -24.35 eV/f.u.
1.0
-3.368 3.368 6.654
3.368 -3.368 6.654
3.368 3.368 -6.654
Y Bi Pt
4 2 2
Direct
0.086 0.625 0.961 Y
0.375 0.336 0.461 Y
0.664 0.125 0.039 Y
0.875 0.914 0.539 Y
0.250 0.750 0.500 Bi
0.500 0.500 0.000 Bi
0.000 0.000 0.000 Pt
0.750 0.250 0.500 Pt

=====

[3]
LaCuH3, optimized geometry, DFT GGA-PBE; crystal system = cubic; total moment = 0.000 μB per atom; E_tot = -17.62 eV/f.u.
1.0
4.422 0.000 0.000
0.000 4.422 0.000
0.000 0.000 4.422
La Cu H
1 1 3
Direct
0.000 0.000 0.000 La
0.500 0.500 0.500 Cu
0.000 0.000 0.500 H
0.000 0.500 0.000 H
0.500 0.000 0.000 H